[1]
The following is a DFT calculation (PBE-GGA) of a relaxed Ce3SnAs crystal.

Cell: 4.5231 7.9863 9.4098 Å, 106.99 118.73 90.00°
Each line ends with the local moment (μB).
Fractional positions:
Ce: 0.8502 0.9989 0.6002  0.58
Ce: 0.6736 0.6378 0.4236  0.72
Ce: 0.7515 0.2537 0.0015  0.73
Ce: 0.1498 0.0011 0.3998  0.58
Ce: 0.2485 0.7463 0.9985  0.73
Ce: 0.3264 0.3622 0.5764  0.72
As: 0.0659 0.3639 0.8159  -0.03
As: 0.9341 0.6361 0.1841  -0.03
Sn: 0.5100 0.1978 0.2600  -0.03
Sn: 0.4900 0.8022 0.7400  -0.03

* calculated volume: 28.10 A^3/atom
* formation energy: -0.746 eV/atom
* Fermi-level density of states: 2.69 states/eV per atom
* space group: No. 11
* magnetization: 4.69 Bohr magnetons per cell

[2]
The following is a DFT calculation (PBE-GGA) of a relaxed SiBi3Br crystal.

Cell: 5.4772 5.4772 5.4772 Å, 90.00 90.00 90.00°
Fractional positions:
Bi: 0.5000 0.0000 0.0000
Bi: 0.0000 0.5000 0.0000
Bi: 0.0000 0.0000 0.5000
Si: 0.0000 0.0000 0.0000
Br: 0.5000 0.5000 0.5000

* energy relative to the elements, uncorrected: 471 meV per atom
* calculated volume: 32.86 A^3/atom
* Fermi-level density of states: 0.78 states/eV per atom
* space group: No. 221
* magnetization: 0.00 Bohr magnetons per cell

[3]
The following is a DFT calculation (PBE-GGA) of a relaxed Rb2YInO4 crystal.

Cell: 3.4623 5.9812 6.8494 Å, 107.37 90.00 90.00°
Fractional positions:
Y: 0.5000 0.5000 0.0000
Rb: 0.0000 0.5000 0.5000
Rb: 0.5000 0.0000 0.5000
O: 0.5000 0.2198 0.1769
O: 0.0000 0.7270 0.1787
O: 0.0000 0.2730 0.8213
O: 0.5000 0.7802 0.8231
In: 0.0000 0.0000 0.0000

* energy relative to the elements, uncorrected: -2056 meV per atom
* calculated volume: 16.92 A^3/atom
* Fermi-level density of states: 0.00 states/eV per atom
* space group: No. 10
* magnetization: 0.00 Bohr magnetons per cell

[4]
The following is a DFT calculation (PBE-GGA) of a relaxed CaSiTc crystal.

Cell: 5.0742 4.2054 11.0351 Å, 90.00 91.12 90.00°
Fractional positions:
Tc: 0.1474 0.0000 0.3767
Tc: 0.3889 0.0000 0.8439
Tc: 0.3889 0.5000 0.3439
Tc: 0.1474 0.5000 0.8767
Si: 0.6755 0.5000 0.7771
Si: 0.8665 0.0000 0.8784
Si: 0.6755 0.0000 0.2771
Si: 0.8665 0.5000 0.3784
Ca: 0.1921 0.0000 0.1146
Ca: 0.6683 0.0000 0.5620
Ca: 0.1921 0.5000 0.6146
Ca: 0.6683 0.5000 0.0620

* energy relative to the elements, uncorrected: -237 meV per atom
* calculated volume: 19.62 A^3/atom
* Fermi-level density of states: 0.49 states/eV per atom
* space group: No. 8
* magnetization: 0.00 Bohr magnetons per cell

[5]
The following is a DFT calculation (PBE-GGA) of a relaxed BeTcH3 crystal.

Cell: 3.0879 3.0879 3.0879 Å, 90.00 90.00 90.00°
Fractional positions:
H: 0.0000 0.0000 0.5000
H: 0.5000 0.0000 0.0000
H: 0.0000 0.5000 0.0000
Be: 0.0000 0.0000 0.0000
Tc: 0.5000 0.5000 0.5000

* calculated volume: 5.89 A^3/atom
* Fermi-level density of states: 0.14 states/eV per atom
* space group: No. 221
* magnetization: 0.00 Bohr magnetons per cell

[6]
The following is a DFT calculation (PBE-GGA) of a relaxed Y8Ho3Tm crystal.

Cell: 6.9421 11.9522 9.8641 Å, 145.63 90.00 106.88°
Fractional positions:
Ho: 0.5000 0.5000 0.0000
Ho: 0.0000 0.5000 0.0000
Ho: 0.5000 0.0000 0.0000
Y: 0.7499 0.9999 0.3124
Y: 0.7501 0.0001 0.6876
Y: 0.2492 0.4983 0.6853
Y: 0.7508 0.5016 0.6887
Y: 0.7508 0.5017 0.3147
Y: 0.2492 0.4984 0.3113
Y: 0.2499 0.9999 0.3124
Y: 0.2501 0.0001 0.6876
Tm: 0.0000 0.0000 0.0000

* calculated volume: 33.02 A^3/atom
* formation energy: 0.196 eV/atom
* Fermi-level density of states: 2.16 states/eV per atom
* space group: No. 65
* magnetization: 0.00 Bohr magnetons per cell

[7]
The following is a DFT calculation (PBE-GGA) of a relaxed Ca2Al4GaAu3 crystal.

Cell: 4.2906 4.2906 11.0912 Å, 90.00 90.00 90.00°
Fractional positions:
Al: 0.5000 0.0000 0.6371
Al: 0.0000 0.0000 0.0000
Al: 0.5000 0.5000 0.0000
Al: 0.0000 0.5000 0.3629
Ga: 0.5000 0.5000 0.5000
Au: 0.0000 0.0000 0.5000
Au: 0.5000 0.0000 0.8649
Au: 0.0000 0.5000 0.1351
Ca: 0.0000 0.5000 0.7482
Ca: 0.5000 0.0000 0.2518

* calculated volume: 20.42 A^3/atom
* formation energy: -0.582 eV/atom
* Fermi-level density of states: 0.48 states/eV per atom
* space group: No. 115
* magnetization: 0.00 Bohr magnetons per cell

[8]
The following is a DFT calculation (PBE-GGA) of a relaxed CdIn2Ga3 crystal.

Cell: 5.0686 5.0686 11.4698 Å, 85.52 85.52 109.14°
Fractional positions:
In: 0.0353 0.7478 0.8944
In: 0.2522 0.9647 0.6056
In: 0.7478 0.0353 0.3944
In: 0.9647 0.2522 0.1056
Ga: 0.5483 0.4517 0.2500
Ga: 0.4783 0.2523 0.9568
Ga: 0.5217 0.7477 0.0432
Ga: 0.4517 0.5483 0.7500
Ga: 0.2523 0.4783 0.4568
Ga: 0.7477 0.5217 0.5432
Cd: 0.1698 0.8302 0.2500
Cd: 0.8302 0.1698 0.7500

* calculated volume: 22.99 A^3/atom
* formation energy: 0.044 eV/atom
* Fermi-level density of states: 0.38 states/eV per atom
* space group: No. 15
* magnetization: 0.00 Bohr magnetons per cell

[9]
The following is a DFT calculation (PBE-GGA) of a relaxed TmAlF5 crystal.

Cell: 5.4487 5.4487 7.6653 Å, 69.59 69.59 72.41°
Each line ends with the local moment (μB).
Fractional positions:
Tm: 0.5000 0.5000 0.2500  0.34
Tm: 0.5000 0.5000 0.7500  0.34
F: 0.7011 0.2985 0.0001  0.01
F: 0.0001 0.9999 0.7500  0.01
F: 0.7725 0.7721 0.1132  0.00
F: 0.2985 0.7011 0.5001  0.01
F: 0.9999 0.0001 0.2500  0.01
F: 0.7015 0.2989 0.4999  0.01
F: 0.2279 0.2275 0.3868  0.00
F: 0.2275 0.2279 0.8868  0.00
F: 0.2989 0.7015 0.9999  0.01
F: 0.7721 0.7725 0.6132  0.00
Al: 0.0000 0.0000 0.5000  -0.01
Al: 0.0000 0.0000 0.0000  -0.01

* energy relative to the elements, uncorrected: -3364 meV per atom
* calculated volume: 13.97 A^3/atom
* Fermi-level density of states: 0.22 states/eV per atom
* space group: No. 12
* magnetization: 0.92 Bohr magnetons per cell

[10]
The following is a DFT calculation (PBE-GGA) of a relaxed TcHg2PtI crystal.

Cell: 5.6570 5.0381 5.6570 Å, 90.00 90.00 90.00°
Each line ends with the local moment (μB).
Fractional positions:
I: 0.0000 0.0000 0.0000  -0.01
Hg: 0.0000 0.0000 0.5000  0.02
Hg: 0.5000 0.0000 0.0000  -0.03
Pt: 0.5000 0.5000 0.5000  0.30
Tc: 0.0000 0.5000 0.0000  2.68

* energy relative to the elements, uncorrected: 1741 meV per atom
* calculated volume: 32.25 A^3/atom
* Fermi-level density of states: 0.68 states/eV per atom
* space group: No. 123
* magnetization: 3.41 Bohr magnetons per cell

[11]
The following is a DFT calculation (PBE-GGA) of a relaxed BeAlSe2 crystal.

Cell: 2.8768 2.8768 9.1922 Å, 90.00 90.00 90.00°
Fractional positions:
Se: 0.0000 0.0000 0.8961
Se: 0.5000 0.5000 0.3072
Be: 0.5000 0.5000 0.7364
Al: 0.0000 0.0000 0.5602

* energy relative to the elements, uncorrected: 192 meV per atom
* calculated volume: 19.02 A^3/atom
* Fermi-level density of states: 0.22 states/eV per atom
* space group: No. 99
* magnetization: 0.00 Bohr magnetons per cell

[12]
The following is a DFT calculation (PBE-GGA) of a relaxed AlInHg2S4 crystal.

Cell: 6.4499 6.4492 6.8584 Å, 118.04 118.04 90.03°
Fractional positions:
S: 0.3925 0.8046 0.2229
S: 0.6672 0.6413 0.7208
S: 0.8304 0.4183 0.2228
S: 0.0537 0.0796 0.7211
Hg: 0.2355 0.2355 0.4713
Hg: 0.4858 0.9857 0.9715
Al: 0.7360 0.7359 0.4718
In: 0.9859 0.4860 0.9719

* energy relative to the elements, uncorrected: -368 meV per atom
* calculated volume: 26.63 A^3/atom
* Fermi-level density of states: 0.69 states/eV per atom
* space group: No. 82
* magnetization: 0.00 Bohr magnetons per cell

[13]
The following is a DFT calculation (PBE-GGA) of a relaxed LaTeCl crystal.

Cell: 4.5563 4.5563 8.3343 Å, 90.00 90.00 90.00°
Fractional positions:
La: 0.0000 0.5000 0.7592
La: 0.5000 0.0000 0.2408
Te: 0.0000 0.5000 0.3628
Te: 0.5000 0.0000 0.6372
Cl: 0.0000 0.0000 0.0000
Cl: 0.5000 0.5000 0.0000

* energy relative to the elements, uncorrected: -1969 meV per atom
* calculated volume: 28.84 A^3/atom
* space group: No. 129
* magnetization: 0.00 Bohr magnetons per cell

[14]
The following is a DFT calculation (PBE-GGA) of a relaxed TmNp3As4 crystal.

Cell: 5.7936 5.7936 5.7936 Å, 90.00 90.00 90.00°
Each line ends with the local moment (μB).
Fractional positions:
Np: 0.5000 0.0000 0.5000  3.73
Np: 0.5000 0.5000 0.0000  3.73
Np: 0.0000 0.5000 0.5000  3.73
As: 0.0000 0.5000 0.0000  -0.09
As: 0.5000 0.5000 0.5000  -0.12
As: 0.0000 0.0000 0.5000  -0.09
As: 0.5000 0.0000 0.0000  -0.09
Tm: 0.0000 0.0000 0.0000  0.04

* calculated volume: 24.31 A^3/atom
* formation energy: -0.886 eV/atom
* Fermi-level density of states: 2.90 states/eV per atom
* space group: No. 221
* magnetization: 11.75 Bohr magnetons per cell

[15]
The following is a DFT calculation (PBE-GGA) of a relaxed KTl2Cl2 crystal.

Cell: 9.2300 9.2300 9.2300 Å, 152.50 152.50 39.28°
Fractional positions:
K: 0.0000 0.0000 0.0000
Tl: 0.7500 0.2500 0.5000
Tl: 0.2500 0.7500 0.5000
Cl: 0.6010 0.6010 0.0000
Cl: 0.3990 0.3990 0.0000

* energy relative to the elements, uncorrected: -984 meV per atom
* calculated volume: 33.47 A^3/atom
* Fermi-level density of states: 0.21 states/eV per atom
* space group: No. 139
* magnetization: 0.00 Bohr magnetons per cell

[16]
The following is a DFT calculation (PBE-GGA) of a relaxed LuPuFeIr crystal.

Cell: 4.7505 4.7505 4.7505 Å, 60.00 60.00 60.00°
Each line ends with the local moment (μB).
Fractional positions:
Fe: 0.5000 0.5000 0.5000  -2.06
Pu: 0.7500 0.7500 0.7500  5.12
Ir: 0.0000 0.0000 0.0000  -0.25
Lu: 0.2500 0.2500 0.2500  0.24

* calculated volume: 18.95 A^3/atom
* formation energy: -0.359 eV/atom
* Fermi-level density of states: 1.12 states/eV per atom
* space group: No. 216
* magnetization: 3.33 Bohr magnetons per cell

In order of appearance, raw total energy = -60.37; -16.38; -47.42; -74.01; -22.13; -67.56; -37.65; -30.42; -82.24; -9.85; -13.67; -26.54; -31.64; -68.98; -14.44; -37.61 eV for the cell shown.